No. 1
Material: Li2GePb2O6
Method: DFT, PBE
State: optimized geometry

Structure (CIF):
```
data_Li2GePb2O6
_chemical_formula_sum 'Li6 Ge3 Pb6 O18'
_cell_length_a 5.8178
_cell_length_b 5.8178
_cell_length_c 14.8910
_cell_angle_alpha 90.00
_cell_angle_beta 90.00
_cell_angle_gamma 120.00
_space_group_name_H-M_alt 'R -3 m'
_space_group_IT_number 166
_space_group_name_Hall '-R 3 2"'
loop_
_atom_site_label
_atom_site_fract_x
_atom_site_fract_y
_atom_site_fract_z
_atom_site_occupancy
Li1 0.0000 0.0000 0.0905 1
Ge1 0.0000 0.0000 0.5000 1
Pb1 0.0000 0.0000 0.2943 1
O1 0.0369 0.5185 0.2476 1
```

Calculated values
Formation energy from raw total energies ... -1.190 eV per atom

No. 2
Material: TbTlPdRu
Method: DFT, PBE
State: optimized geometry

Structure (CIF):
```
data_TbTlPdRu
_chemical_formula_sum 'Tb4 Tl4 Pd4 Ru4'
_cell_length_a 6.760
_cell_length_b 6.760
_cell_length_c 6.760
_cell_angle_alpha 90.00
_cell_angle_beta 90.00
_cell_angle_gamma 90.00
_space_group_name_H-M_alt 'F -4 3 m'
_space_group_IT_number 216
_space_group_name_Hall 'F -4 2 3'
loop_
_atom_site_label
_atom_site_fract_x
_atom_site_fract_y
_atom_site_fract_z
_atom_site_occupancy
Tb1 0.000 0.000 0.000 1
Tl1 0.000 0.000 0.500 1
Pd1 0.250 0.250 0.250 1
Ru1 0.250 0.250 0.750 1
```

Calculated values
Energy relative to the elements ... -0.289 eV per atom

No. 3
Material: Ba2MgGaTe5
Method: DFT, PBE
State: optimized geometry

Structure (CIF):
```
data_Ba2MgGaTe5
_chemical_formula_sum 'Ba8 Mg4 Ga4 Te20'
_cell_length_a 4.470
_cell_length_b 21.074
_cell_length_c 13.587
_cell_angle_alpha 90.00
_cell_angle_beta 90.00
_cell_angle_gamma 90.00
_space_group_name_H-M_alt 'C m c 21'
_space_group_IT_number 36
loop_
_space_group_symop_operation_xyz
'x,y,z'
'-x,-y,z+1/2'
'-x,y,z'
'x,-y,z+1/2'
'x+1/2,y+1/2,z'
'-x+1/2,-y+1/2,z+1/2'
'-x+1/2,y+1/2,z'
'x+1/2,-y+1/2,z+1/2'
loop_
_atom_site_label
_atom_site_fract_x
_atom_site_fract_y
_atom_site_fract_z
_atom_site_occupancy
Ba1 0.000 0.121 0.000 1
Ba2 0.000 0.122 0.381 1
Mg1 0.000 0.221 0.718 1
Ga1 0.000 0.431 0.131 1
Te1 0.000 0.049 0.742 1
Te2 0.000 0.291 0.358 1
Te3 0.000 0.308 0.074 1
Te4 0.000 0.354 0.692 1
Te5 0.000 0.494 0.964 1
```

Calculated values
Formation energy from raw total energies ... -1.008 eV per atom

No. 4
Material: TlRe2Ag
Method: DFT, PBE
State: optimized geometry

Structure (CIF):
```
data_TlRe2Ag
_chemical_formula_sum 'Tl4 Re8 Ag4'
_cell_length_a 6.480
_cell_length_b 6.480
_cell_length_c 6.480
_cell_angle_alpha 90.00
_cell_angle_beta 90.00
_cell_angle_gamma 90.00
_space_group_name_H-M_alt 'F m -3 m'
_space_group_IT_number 225
_space_group_name_Hall '-F 4 2 3'
loop_
_atom_site_label
_atom_site_fract_x
_atom_site_fract_y
_atom_site_fract_z
_atom_site_occupancy
Tl1 0.000 0.000 0.000 1
Re1 0.250 0.250 0.250 1
Ag1 0.000 0.000 0.500 1
```

Calculated values
Energy relative to the elements ... 1.289 eV per atom
Polymorph energy (0 for the lowest one) ... 3.30 eV/f.u.

No. 5
Material: TlAgHgCl5
Method: DFT, PBE
State: optimized geometry

Structure (CIF):
```
data_TlAgHgCl5
_chemical_formula_sum 'Tl4 Ag4 Hg4 Cl20'
_cell_length_a 8.441
_cell_length_b 13.164
_cell_length_c 9.661
_cell_angle_alpha 90.00
_cell_angle_beta 112.11
_cell_angle_gamma 90.00
_space_group_name_H-M_alt 'C 1 2/c 1'
_space_group_IT_number 15
loop_
_space_group_symop_operation_xyz
'x,y,z'
'-x,-y,-z'
'-x,y,-z+1/2'
'x,-y,z+1/2'
'x+1/2,y+1/2,z'
'-x+1/2,-y+1/2,-z'
'-x+1/2,y+1/2,-z+1/2'
'x+1/2,-y+1/2,z+1/2'
loop_
_atom_site_label
_atom_site_fract_x
_atom_site_fract_y
_atom_site_fract_z
_atom_site_occupancy
Tl1 0.000 0.186 0.250 1
Ag1 0.000 0.500 0.000 1
Hg1 0.000 0.167 0.750 1
Cl1 0.000 0.447 0.250 1
Cl2 0.089 0.275 0.582 1
Cl3 0.191 0.029 0.929 1
```

Calculated values
Formation energy from raw total energies ... -0.599 eV per atom

No. 6
Material: BPH
Method: DFT, PBE
State: optimized geometry

Structure (CIF):
```
data_BPH
_chemical_formula_sum 'B2 P2 H2'
_cell_length_a 3.296
_cell_length_b 11.294
_cell_length_c 2.412
_cell_angle_alpha 90.00
_cell_angle_beta 131.84
_cell_angle_gamma 90.00
_space_group_name_H-M_alt 'C 1 2 1'
_space_group_IT_number 5
loop_
_space_group_symop_operation_xyz
'x,y,z'
'-x,y,-z'
'x+1/2,y+1/2,z'
'-x+1/2,y+1/2,-z'
loop_
_atom_site_label
_atom_site_fract_x
_atom_site_fract_y
_atom_site_fract_z
_atom_site_occupancy
B1 0.000 0.000 0.000 1
P1 0.000 0.835 0.000 1
H1 0.000 0.105 0.000 1
```

Calculated values
Polymorph energy (0 for the lowest one) ... 1.88 eV/f.u.

No. 7
Material: Zr3TlH
Method: DFT, PBE
State: optimized geometry

Structure (CIF):
```
data_Zr3TlH
_chemical_formula_sum 'Zr6 Tl2 H2'
_cell_length_a 5.309
_cell_length_b 6.159
_cell_length_c 6.749
_cell_angle_alpha 106.29
_cell_angle_beta 90.01
_cell_angle_gamma 115.51
_space_group_name_H-M_alt 'P 1'
_space_group_IT_number 1
loop_
_space_group_symop_operation_xyz
'x,y,z'
loop_
_atom_site_label
_atom_site_fract_x
_atom_site_fract_y
_atom_site_fract_z
_atom_site_occupancy
Zr1 0.000 0.000 0.000 1
Zr2 0.003 0.006 0.500 1
Zr3 0.247 0.491 0.370 1
Zr4 0.250 0.498 0.875 1
Zr5 0.494 0.987 0.742 1
Zr6 0.756 0.509 0.637 1
Tl1 0.509 0.018 0.256 1
Tl2 0.745 0.487 0.109 1
H1 0.120 0.745 0.553 1
H2 0.626 0.745 0.554 1
```

No. 8
Material: TlHgSb
Method: DFT, PBE
State: optimized geometry

Structure (CIF):
```
data_TlHgSb
_chemical_formula_sum 'Tl2 Hg2 Sb2'
_cell_length_a 4.561
_cell_length_b 4.320
_cell_length_c 10.024
_cell_angle_alpha 90.00
_cell_angle_beta 91.06
_cell_angle_gamma 90.00
_space_group_name_H-M_alt 'P 1 21/m 1'
_space_group_IT_number 11
loop_
_space_group_symop_operation_xyz
'x,y,z'
'-x,-y,-z'
'-x,y+1/2,-z'
'x,-y+1/2,z'
loop_
_atom_site_label
_atom_site_fract_x
_atom_site_fract_y
_atom_site_fract_z
_atom_site_occupancy
Tl1 0.180 0.250 0.238 1
Hg1 0.303 0.250 0.903 1
Sb1 0.287 0.750 0.503 1
```

Calculated values
Formation energy from raw total energies ... 0.008 eV per atom

No. 9
Material: TcNi2
Method: DFT, PBE
State: optimized geometry

Structure (CIF):
```
data_TcNi2
_chemical_formula_sum 'Tc8 Ni16'
_cell_length_a 4.6667
_cell_length_b 4.6667
_cell_length_c 15.1725
_cell_angle_alpha 90.00
_cell_angle_beta 90.00
_cell_angle_gamma 120.00
_space_group_name_H-M_alt 'P 63/m m c'
_space_group_IT_number 194
_space_group_name_Hall '-P 6c 2c'
loop_
_atom_site_label
_atom_site_fract_x
_atom_site_fract_y
_atom_site_fract_z
_atom_site_occupancy
Tc1 0.0000 0.0000 0.0936 1
Tc2 0.3333 0.6667 0.1578 1
Ni1 0.0000 0.5000 0.0000 1
Ni2 0.1633 0.3267 0.7500 1
Ni3 0.3333 0.6667 0.6250 1
```

Calculated values
Energy relative to the elements ... 0.051 eV per atom
Polymorph energy (0 for the lowest one) ... 0.27 eV/f.u.

No. 10
Material: Li6TmMg6
Method: DFT, PBE
State: optimized geometry

Structure (CIF):
```
data_Li6TmMg6
_chemical_formula_sum 'Li6 Tm1 Mg6'
_cell_length_a 5.6113
_cell_length_b 5.6113
_cell_length_c 10.2172
_cell_angle_alpha 90.00
_cell_angle_beta 90.00
_cell_angle_gamma 120.00
_space_group_name_H-M_alt 'P 6/m m m'
_space_group_IT_number 191
_space_group_name_Hall '-P 6 2'
loop_
_atom_site_label
_atom_site_fract_x
_atom_site_fract_y
_atom_site_fract_z
_atom_site_occupancy
Li1 0.0000 0.5000 0.2413 1
Tm1 0.0000 0.0000 0.0000 1
Mg1 0.0000 0.0000 0.3525 1
Mg2 0.3333 0.6667 0.0000 1
Mg3 0.3333 0.6667 0.5000 1
```

Calculated values
Energy relative to the elements ... -0.006 eV per atom

Number 1: total DFT energy (no corrections) -5.34 eV per atom, theoretical density 6.81 g cm⁻³. Number 2: total DFT energy (no corrections) -5.65 eV per atom, theoretical density 12.28 g cm⁻³. Number 3: total DFT energy (no corrections) -3.69 eV per atom, theoretical density 5.22 g cm⁻³. Number 4: total DFT energy (no corrections) -6.24 eV per atom, theoretical density 16.72 g cm⁻³. Number 5: total DFT energy (no corrections) -2.44 eV per atom, theoretical density 4.61 g cm⁻³. Number 6: total DFT energy (no corrections) -4.55 eV per atom, theoretical density 2.12 g cm⁻³. Number 7: total DFT energy (no corrections) -6.45 eV per atom, theoretical density 8.41 g cm⁻³. Number 8: total DFT energy (no corrections) -2.26 eV per atom, theoretical density 8.86 g cm⁻³. Number 9: total DFT energy (no corrections) -7.26 eV per atom, theoretical density 10.00 g cm⁻³. Number 10: total DFT energy (no corrections) -1.97 eV per atom, theoretical density 2.12 g cm⁻³.